The following is a DFT calculation (PBE-GGA) of an optimized crystal structure of BeAl2In.

Unit cell a=6.1007 b=6.1007 c=6.1007 alpha=153.39 beta=135.96 gamma=52.20
Last column: nearest neighbours and their distance in Å.
Fractional positions:
Be 0.0000 0.0000 0.0000  4 Al 2.61, 4 In 2.68, 2 Be 2.81
Al 0.2006 0.7006 0.5000  2 Be 2.61, 6 Al 2.81-2.89
Al 0.7994 0.2994 0.5000  2 Be 2.61, 6 Al 2.81-2.89
In 0.5000 0.5000 0.0000  4 Be 2.68, 2 In 2.81

distance to the lowest polymorph of the same formula	0.22	eV/f.u.
calculated formation energy	302	meV/atom
crystal system	orthorhombic